The following is a DFT calculation (PBE) of a geometry-optimized Tm5ThCd3 structure.

a = 9.1949 Å, b = 9.1949 Å, c = 6.7517 Å
α = 90.00°, β = 90.00°, γ = 120.00°
Space group P6_3/mcm (No. 193)
Asymmetric unit:
1 Tm 0.0000 0.3314 0.2500 (multiplicity 6)
2 Tm 0.3333 0.6667 0.0000 (multiplicity 4)
3 Th 0.0000 0.0000 0.0000 (multiplicity 2)
4 Cd 0.0000 0.3421 0.7500 (multiplicity 6)

Output
- uncorrected energy (Ry per atom) = -0.2753
- total magnetic moment (μB/f.u.) = 0.00



The following is a DFT calculation (PBE) of a geometry-optimized TmThCd14 structure.

a = 6.645 Å, b = 6.645 Å, c = 8.520 Å
α = 90.00°, β = 90.00°, γ = 90.00°
Space group P4/mmm (No. 123)
Asymmetric unit:
1 Tm 0.000 0.000 0.000 (multiplicity 1)
2 Th 0.500 0.500 0.000 (multiplicity 1)
3 Cd 0.000 0.000 0.500 (multiplicity 1)
4 Cd 0.000 0.500 0.000 (multiplicity 2)
5 Cd 0.000 0.500 0.500 (multiplicity 2)
6 Cd 0.245 0.245 0.261 (multiplicity 8)
7 Cd 0.500 0.500 0.500 (multiplicity 1)

Output
- uncorrected energy (Ry per atom) = -0.1196
- total magnetic moment (μB/f.u.) = 0.00



The following is a DFT calculation (PBE) of a geometry-optimized TmThCd structure.

a = 3.557 Å, b = 3.557 Å, c = 13.577 Å
α = 90.00°, β = 90.00°, γ = 90.00°
Space group I4mm (No. 107)
Asymmetric unit:
1 Tm 0.000 0.000 0.000 (multiplicity 2)
2 Th 0.000 0.000 0.681 (multiplicity 2)
3 Cd 0.000 0.000 0.354 (multiplicity 2)

Output
- uncorrected energy (Ry per atom) = -0.3231
- energy above the most stable polymorph in this dataset (eV per atom) = 0.000
- total magnetic moment (μB/f.u.) = 0.00



The following is a DFT calculation (PBE) of a geometry-optimized TmTh2Cd6 structure.

a = 8.7978 Å, b = 8.7978 Å, c = 3.3809 Å
α = 90.00°, β = 90.00°, γ = 120.00°
Space group P6/mmm (No. 191)
Asymmetric unit:
1 Tm 0.0000 0.0000 0.0000 (multiplicity 1)
2 Th 0.3333 0.6667 0.0000 (multiplicity 2)
3 Cd 0.0000 0.3280 0.5000 (multiplicity 6)

Output
- uncorrected energy (Ry per atom) = -0.2183
- total magnetic moment (μB/f.u.) = 0.00



The following is a DFT calculation (PBE) of a geometry-optimized TmThCd structure.

a = 3.588 Å, b = 3.588 Å, c = 12.993 Å
α = 90.00°, β = 90.00°, γ = 90.00°
Space group P4/nmm (No. 129, origin choice 2)
Asymmetric unit:
1 Tm 0.250 0.250 0.220 (multiplicity 2)
2 Th 0.250 0.250 0.594 (multiplicity 2)
3 Cd 0.250 0.250 0.932 (multiplicity 2)

Output
- uncorrected energy (Ry per atom) = -0.3221
- energy above the most stable polymorph in this dataset (eV per atom) = 0.014
- total magnetic moment (μB/f.u.) = 0.00



The following is a DFT calculation (PBE) of a geometry-optimized TmThZnCd structure.

a = 7.405 Å, b = 7.405 Å, c = 7.405 Å
α = 90.00°, β = 90.00°, γ = 90.00°
Space group F-43m (No. 216)
Asymmetric unit:
1 Tm 0.000 0.000 0.000 (multiplicity 4)
2 Th 0.000 0.000 0.500 (multiplicity 4)
3 Zn 0.250 0.250 0.750 (multiplicity 4)
4 Cd 0.250 0.250 0.250 (multiplicity 4)

Output
- uncorrected energy (Ry per atom) = -0.2717
- total magnetic moment (μB/f.u.) = 0.00